Record 1
! BTe3O3F15 (GGA-PBEsol, optimized geometry); values from VASP
&SYSTEM
  ibrav = 0, nat = 44, ntyp = 4
/
ATOMIC_SPECIES
B 10.81 B.upf
Te 127.60 Te.upf
O 16.00 O.upf
F 19.00 F.upf
CELL_PARAMETERS angstrom
9.253 0.000 0.000
-4.627 8.014 0.000
0.000 0.000 9.204
ATOMIC_POSITIONS angstrom
B 0.000 5.342 2.301
B 4.627 2.671 6.903
Te -1.645 2.858 2.301
Te -1.329 8.009 2.301
Te 1.653 2.853 6.903
Te 2.974 5.160 2.301
Te 5.956 0.005 6.903
Te 6.271 5.156 6.903
O -1.228 4.722 2.301
O 1.151 4.590 2.301
O 0.076 6.716 2.301
O 4.551 1.298 6.903
O 3.475 3.424 6.903
O 5.854 3.292 6.903
F -0.400 2.488 0.972
F -0.400 2.488 3.630
F -1.695 4.830 5.607
F -1.695 4.830 8.199
F -0.139 2.378 6.903
F -2.498 6.944 6.903
F -2.273 7.116 0.972
F -2.273 7.116 3.630
F 1.991 1.309 2.301
F 1.955 1.590 5.574
F 1.955 1.590 8.231
F 1.291 4.131 5.607
F 1.291 4.131 8.199
F 0.404 7.066 5.607
F 0.404 7.066 8.199
F 4.223 0.947 1.005
F 4.223 0.947 3.597
F 3.336 3.883 1.005
F 3.336 3.883 3.597
F 2.672 6.424 0.972
F 2.672 6.424 3.630
F 2.636 6.705 6.903
F 6.899 0.898 5.574
F 6.899 0.898 8.231
F 7.124 1.069 2.301
F 4.765 5.635 2.301
F 6.322 3.183 1.005
F 6.322 3.183 3.597
F 5.026 5.526 5.574
F 5.026 5.526 8.231
! crystal system = hexagonal
! total magnetic moment = 0.168 μB per formula unit
! space-group type = P6_3/m
! ρ = 3.5 g/cm3
! total energy = -4.812 eV/atom

Record 2
! TiBO2F (GGA-PBEsol, optimized geometry); values from VASP
&SYSTEM
  ibrav = 0, nat = 5, ntyp = 4
/
ATOMIC_SPECIES
Ti 47.87 Ti.upf
B 10.81 B.upf
O 16.00 O.upf
F 19.00 F.upf
CELL_PARAMETERS angstrom
3.811 0.000 0.000
0.000 3.811 0.000
0.000 0.000 3.892
ATOMIC_POSITIONS angstrom
Ti 0.000 0.000 0.000
B 1.905 1.905 1.946
O 0.000 1.905 0.000
O 1.905 0.000 0.000
F 0.000 0.000 1.946
! crystal system = tetragonal
! total magnetic moment = 0.000 μB per formula unit
! space-group type = P4/mmm
! ρ = 3.2 g/cm3
! total energy = -6.864 eV/atom

Record 3
! ZnB2OF (GGA-PBEsol, optimized geometry); values from VASP
&SYSTEM
  ibrav = 0, nat = 5, ntyp = 4
/
ATOMIC_SPECIES
Zn 65.41 Zn.upf
B 10.81 B.upf
O 16.00 O.upf
F 19.00 F.upf
CELL_PARAMETERS angstrom
4.126 0.000 0.000
0.000 4.126 0.000
0.000 0.000 3.648
ATOMIC_POSITIONS angstrom
Zn 0.000 0.000 0.000
B 0.000 2.063 0.000
B 2.063 0.000 0.000
O 0.000 0.000 1.824
F 2.063 2.063 1.824
! crystal system = tetragonal
! total magnetic moment = 0.000 μB per formula unit
! space-group type = P4/mmm
! ρ = 3.3 g/cm3
! total energy = -3.442 eV/atom

Record 4
! ZrBO2F (GGA-PBEsol, optimized geometry); values from VASP
&SYSTEM
  ibrav = 0, nat = 5, ntyp = 4
/
ATOMIC_SPECIES
Zr 91.22 Zr.upf
B 10.81 B.upf
O 16.00 O.upf
F 19.00 F.upf
CELL_PARAMETERS angstrom
4.086 0.000 0.000
0.000 4.086 0.000
0.000 0.000 4.116
ATOMIC_POSITIONS angstrom
Zr 0.000 0.000 0.000
B 2.043 2.043 2.058
O 0.000 2.043 0.000
O 2.043 0.000 0.000
F 0.000 0.000 2.058
! crystal system = tetragonal
! total magnetic moment = 0.000 μB per formula unit
! space-group type = P4/mmm
! ρ = 3.7 g/cm3
! total energy = -7.178 eV/atom

Record 5
! B3OsF (GGA-PBEsol, optimized geometry); values from VASP
&SYSTEM
  ibrav = 0, nat = 5, ntyp = 3
/
ATOMIC_SPECIES
B 10.81 B.upf
Os 190.23 Os.upf
F 19.00 F.upf
CELL_PARAMETERS angstrom
3.520 0.000 0.000
0.000 3.520 0.000
0.000 0.000 3.520
ATOMIC_POSITIONS angstrom
B 0.000 0.000 1.760
B 0.000 1.760 0.000
B 1.760 0.000 0.000
Os 1.760 1.760 1.760
F 0.000 0.000 0.000
! crystal system = cubic
! total magnetic moment = 0.001 μB per formula unit
! space-group type = Pm-3m
! ρ = 9.2 g/cm3
! total energy = -5.520 eV/atom

Record 6
! BP2SF (GGA-PBEsol, optimized geometry); values from VASP
&SYSTEM
  ibrav = 0, nat = 5, ntyp = 4
/
ATOMIC_SPECIES
B 10.81 B.upf
P 30.97 P.upf
S 32.06 S.upf
F 19.00 F.upf
CELL_PARAMETERS angstrom
4.025 0.000 0.000
0.000 4.025 0.000
0.000 0.000 4.088
ATOMIC_POSITIONS angstrom
B 0.000 0.000 0.000
P 0.000 2.012 0.000
P 2.012 0.000 0.000
S 0.000 0.000 2.044
F 2.012 2.012 2.044
! crystal system = tetragonal
! total magnetic moment = 0.000 μB per formula unit
! space-group type = P4/mmm
! ρ = 3.1 g/cm3
! total energy = -4.442 eV/atom

Record 7
! B3PtF (GGA-PBEsol, optimized geometry); values from VASP
&SYSTEM
  ibrav = 0, nat = 5, ntyp = 3
/
ATOMIC_SPECIES
B 10.81 B.upf
Pt 195.08 Pt.upf
F 19.00 F.upf
CELL_PARAMETERS angstrom
3.612 0.000 0.000
0.000 3.612 0.000
0.000 0.000 3.612
ATOMIC_POSITIONS angstrom
B 0.000 0.000 1.806
B 0.000 1.806 0.000
B 1.806 0.000 0.000
Pt 1.806 1.806 1.806
F 0.000 0.000 0.000
! crystal system = cubic
! total magnetic moment = 0.000 μB per formula unit
! space-group type = Pm-3m
! ρ = 8.7 g/cm3
! total energy = -4.423 eV/atom

Record 8
! SrBPtF2 (GGA-PBEsol, optimized geometry); values from VASP
&SYSTEM
  ibrav = 0, nat = 5, ntyp = 4
/
ATOMIC_SPECIES
Sr 87.62 Sr.upf
B 10.81 B.upf
Pt 195.08 Pt.upf
F 19.00 F.upf
CELL_PARAMETERS angstrom
4.292 0.000 0.000
0.000 4.292 0.000
0.000 0.000 4.090
ATOMIC_POSITIONS angstrom
Sr 0.000 0.000 0.000
B 2.146 2.146 2.045
Pt 2.146 2.146 0.000
F 0.000 2.146 2.045
F 2.146 0.000 2.045
! crystal system = tetragonal
! total magnetic moment = 0.000 μB per formula unit
! space-group type = P4/mmm
! ρ = 7.3 g/cm3
! total energy = -5.138 eV/atom

Record 9
! RbSiB2F (GGA-PBEsol, optimized geometry); values from VASP
&SYSTEM
  ibrav = 0, nat = 5, ntyp = 4
/
ATOMIC_SPECIES
Rb 85.47 Rb.upf
Si 28.09 Si.upf
B 10.81 B.upf
F 19.00 F.upf
CELL_PARAMETERS angstrom
3.875 0.000 0.000
0.000 3.875 0.000
0.000 0.000 8.001
ATOMIC_POSITIONS angstrom
Rb 0.000 0.000 0.000
Si 0.000 0.000 4.001
B 0.000 1.937 4.001
B 1.937 0.000 4.001
F 1.937 1.937 0.000
! crystal system = tetragonal
! total magnetic moment = 0.000 μB per formula unit
! space-group type = P4/mmm
! ρ = 2.1 g/cm3
! total energy = -4.333 eV/atom

Record 10
! RbTi2BF (GGA-PBEsol, optimized geometry); values from VASP
&SYSTEM
  ibrav = 0, nat = 5, ntyp = 4
/
ATOMIC_SPECIES
Rb 85.47 Rb.upf
Ti 47.87 Ti.upf
B 10.81 B.upf
F 19.00 F.upf
CELL_PARAMETERS angstrom
4.891 0.000 0.000
0.000 4.891 0.000
0.000 0.000 4.305
ATOMIC_POSITIONS angstrom
Rb 0.000 0.000 0.000
Ti 0.000 2.446 0.000
Ti 2.446 0.000 0.000
B 2.446 2.446 2.153
F 0.000 0.000 2.153
! crystal system = tetragonal
! total magnetic moment = 2.536 μB per formula unit
! space-group type = P4/mmm
! ρ = 3.4 g/cm3
! total energy = -3.468 eV/atom

Record 11
! BS2F (GGA-PBEsol, optimized geometry); values from VASP
&SYSTEM
  ibrav = 0, nat = 8, ntyp = 3
/
ATOMIC_SPECIES
B 10.81 B.upf
S 32.06 S.upf
F 19.00 F.upf
CELL_PARAMETERS angstrom
-2.688 2.688 3.926
2.688 -2.688 3.926
2.688 2.688 -3.926
ATOMIC_POSITIONS angstrom
B 0.000 0.000 0.000
B 0.000 2.688 1.963
S 4.032 0.919 -0.981
S 0.919 1.344 0.981
S -1.344 1.769 2.944
S 1.769 1.344 4.907
F 2.688 0.000 1.963
F 0.000 0.000 3.926
! crystal system = tetragonal
! total magnetic moment = 0.000 μB per formula unit
! space-group type = I-42d
! ρ = 2.7 g/cm3
! total energy = -4.541 eV/atom

Record 12
! ScB2SF (GGA-PBEsol, optimized geometry); values from VASP
&SYSTEM
  ibrav = 0, nat = 5, ntyp = 4
/
ATOMIC_SPECIES
Sc 44.96 Sc.upf
B 10.81 B.upf
S 32.06 S.upf
F 19.00 F.upf
CELL_PARAMETERS angstrom
3.596 0.000 0.000
0.000 3.596 0.000
0.000 0.000 4.767
ATOMIC_POSITIONS angstrom
Sc 0.000 0.000 0.000
B 0.000 1.798 2.384
B 1.798 0.000 2.384
S 1.798 1.798 2.384
F 1.798 1.798 0.000
! crystal system = tetragonal
! total magnetic moment = 0.000 μB per formula unit
! space-group type = P4/mmm
! ρ = 3.2 g/cm3
! total energy = -5.233 eV/atom

Record 13
! BSbF2 (GGA-PBEsol, optimized geometry); values from VASP
&SYSTEM
  ibrav = 0, nat = 4, ntyp = 3
/
ATOMIC_SPECIES
B 10.81 B.upf
Sb 121.76 Sb.upf
F 19.00 F.upf
CELL_PARAMETERS angstrom
1.525 0.880 10.340
-1.525 0.880 10.340
0.000 -1.761 10.340
ATOMIC_POSITIONS angstrom
B 0.000 0.000 0.000
Sb 0.000 0.000 15.510
F 0.000 0.000 1.319
F 0.000 0.000 29.701
! crystal system = trigonal
! total magnetic moment = 0.000 μB per formula unit
! space-group type = R-3m
! ρ = 3.4 g/cm3
! total energy = -4.665 eV/atom

Record 14
! BSb3F (GGA-PBEsol, optimized geometry); values from VASP
&SYSTEM
  ibrav = 0, nat = 5, ntyp = 3
/
ATOMIC_SPECIES
B 10.81 B.upf
Sb 121.76 Sb.upf
F 19.00 F.upf
CELL_PARAMETERS angstrom
4.796 0.000 0.000
0.000 4.796 0.000
0.000 0.000 4.796
ATOMIC_POSITIONS angstrom
B 0.000 0.000 0.000
Sb 0.000 2.398 2.398
Sb 2.398 0.000 2.398
Sb 2.398 2.398 0.000
F 2.398 2.398 2.398
! crystal system = cubic
! total magnetic moment = 0.000 μB per formula unit
! space-group type = Pm-3m
! ρ = 5.9 g/cm3
! total energy = -3.758 eV/atom

Record 15
! Sc2BF (GGA-PBEsol, optimized geometry); values from VASP
&SYSTEM
  ibrav = 0, nat = 8, ntyp = 3
/
ATOMIC_SPECIES
Sc 44.96 Sc.upf
B 10.81 B.upf
F 19.00 F.upf
CELL_PARAMETERS angstrom
-2.413 2.413 5.617
2.413 -2.413 5.617
2.413 2.413 -5.617
ATOMIC_POSITIONS angstrom
Sc 3.619 1.189 -1.404
Sc 1.189 1.206 1.404
Sc -1.206 1.223 4.213
Sc 1.223 1.206 7.021
B 2.413 0.000 2.808
B 0.000 0.000 5.617
F 0.000 0.000 0.000
F 0.000 2.413 2.808
! crystal system = tetragonal
! total magnetic moment = 0.000 μB per formula unit
! space-group type = I-42d
! ρ = 3.0 g/cm3
! total energy = -6.666 eV/atom

Record 16
! Sc3BF (GGA-PBEsol, optimized geometry); values from VASP
&SYSTEM
  ibrav = 0, nat = 5, ntyp = 3
/
ATOMIC_SPECIES
Sc 44.96 Sc.upf
B 10.81 B.upf
F 19.00 F.upf
CELL_PARAMETERS angstrom
4.598 0.000 0.000
0.000 4.598 0.000
0.000 0.000 4.598
ATOMIC_POSITIONS angstrom
Sc 0.000 0.000 2.299
Sc 0.000 2.299 0.000
Sc 2.299 0.000 0.000
B 0.000 0.000 0.000
F 2.299 2.299 2.299
! crystal system = cubic
! total magnetic moment = 0.004 μB per formula unit
! space-group type = Pm-3m
! ρ = 2.8 g/cm3
! total energy = -6.117 eV/atom

Record 17
! Sc2BF (GGA-PBEsol, optimized geometry); values from VASP
&SYSTEM
  ibrav = 0, nat = 4, ntyp = 3
/
ATOMIC_SPECIES
Sc 44.96 Sc.upf
B 10.81 B.upf
F 19.00 F.upf
CELL_PARAMETERS angstrom
0.000 2.976 2.976
2.976 0.000 2.976
2.976 2.976 0.000
ATOMIC_POSITIONS angstrom
Sc 1.488 1.488 1.488
Sc 4.464 4.464 4.464
B 0.000 0.000 0.000
F 2.976 2.976 2.976
! crystal system = cubic
! total magnetic moment = 0.000 μB per formula unit
! space-group type = Fm-3m
! ρ = 3.8 g/cm3
! total energy = -6.543 eV/atom

Record 18
! ScB2F (GGA-PBEsol, optimized geometry); values from VASP
&SYSTEM
  ibrav = 0, nat = 8, ntyp = 3
/
ATOMIC_SPECIES
Sc 44.96 Sc.upf
B 10.81 B.upf
F 19.00 F.upf
CELL_PARAMETERS angstrom
-3.823 3.823 1.802
3.823 -3.823 1.802
3.823 3.823 -1.802
ATOMIC_POSITIONS angstrom
Sc 0.000 0.000 0.000
Sc 0.000 3.823 0.901
B 5.734 1.840 -0.450
B 1.840 1.911 0.450
B -1.911 1.983 1.351
B 1.983 1.911 2.252
F 3.823 0.000 0.901
F 0.000 0.000 1.802
! crystal system = tetragonal
! total magnetic moment = 0.000 μB per formula unit
! space-group type = I-42d
! ρ = 2.7 g/cm3
! total energy = -6.204 eV/atom

Record 19
! SiBF2 (GGA-PBEsol, optimized geometry); values from VASP
&SYSTEM
  ibrav = 0, nat = 4, ntyp = 3
/
ATOMIC_SPECIES
Si 28.09 Si.upf
B 10.81 B.upf
F 19.00 F.upf
CELL_PARAMETERS angstrom
1.259 0.727 7.617
-1.259 0.727 7.617
0.000 -1.454 7.617
ATOMIC_POSITIONS angstrom
Si 0.000 0.000 0.000
B 0.000 0.000 11.426
F 0.000 0.000 1.687
F 0.000 0.000 21.164
! crystal system = trigonal
! total magnetic moment = 0.000 μB per formula unit
! space-group type = R-3m
! ρ = 3.1 g/cm3
! total energy = -4.718 eV/atom

Record 20
! Sn2BF7 (GGA-PBEsol, optimized geometry); values from VASP
&SYSTEM
  ibrav = 0, nat = 40, ntyp = 3
/
ATOMIC_SPECIES
Sn 118.71 Sn.upf
B 10.81 B.upf
F 19.00 F.upf
CELL_PARAMETERS angstrom
8.355 0.000 0.000
0.000 5.320 0.000
0.000 0.000 14.068
ATOMIC_POSITIONS angstrom
Sn 0.130 1.330 2.654
Sn 1.751 3.990 6.319
Sn 2.426 1.330 13.353
Sn 4.048 3.990 9.688
Sn 4.307 1.330 4.380
Sn 5.928 3.990 0.715
Sn 6.604 1.330 7.749
Sn 8.225 3.990 11.414
B 1.600 1.330 8.803
B 2.578 3.990 1.769
B 5.777 1.330 12.300
B 6.755 3.990 5.265
F 0.752 1.330 0.583
F 0.883 0.169 9.163
F 0.883 2.491 9.163
F 1.311 3.990 2.387
F 1.404 5.318 12.053
F 1.404 2.663 12.053
F 1.755 1.330 7.390
F 2.422 3.990 0.355
F 2.774 0.003 5.019
F 2.774 2.658 5.019
F 2.866 1.330 9.421
F 3.294 2.829 2.129
F 3.294 5.151 2.129
F 3.425 3.990 7.617
F 4.930 1.330 6.451
F 5.061 0.169 11.940
F 5.061 2.491 11.940
F 5.489 3.990 4.647
F 5.581 5.318 9.050
F 5.581 2.663 9.050
F 5.933 1.330 13.713
F 6.599 3.990 6.679
F 6.951 0.003 2.016
F 6.951 2.658 2.016
F 7.044 1.330 11.681
F 7.472 2.829 4.905
F 7.472 5.151 4.905
F 7.602 3.990 13.485
! crystal system = orthorhombic
! total magnetic moment = 0.000 μB per formula unit
! space-group type = Pnma
! ρ = 4.0 g/cm3
! total energy = -5.439 eV/atom